# PmPrP

PmPrP after structural relaxation (PBE-GGA, Alexandria via LeMat-Bulk).

Results
Magnetic moment ... 0.00 μB/f.u.
Final energy ... -5.698 eV per atom
ρ ... 6.15 g/cm3

Cell: 3.6091 3.6091 7.0466 Å, 104.84 104.84 90.00°
With the nearest neighbours (Å) after each atom.
Sites, in units of the cell vectors:
Pr 0.6572 0.6572 0.3143  4 P 3.06, 1 Pm 3.28
P 0.2860 0.2860 0.5720  4 Pm 3.01, 4 Pr 3.06
Pm 0.9068 0.9068 0.8136  4 P 3.01, 1 Pr 3.28


# PmPr3P4

PmPr3P4 after structural relaxation (PBE-GGA, Alexandria via LeMat-Bulk).

Results
Magnetic moment ... 0.00 μB/f.u.
Final energy ... -6.619 eV per atom
ρ ... 5.53 g/cm3

Cell: 4.1891 7.2488 7.2488 Å, 109.44 90.00 90.00°
With the nearest neighbours (Å) after each atom.
Sites, in units of the cell vectors:
Pm 0.5000 0.0000 0.0000  6 P 2.94-2.95
Pr 0.0000 0.0000 0.5000  6 P 2.96
Pr 0.5000 0.5000 0.5000  6 P 2.98
Pr 0.0000 0.5000 0.0000  6 P 2.96
P 0.0000 0.2473 0.2473  2 Pm 2.95, 4 Pr 2.96-2.98
P 0.5000 0.7515 0.2485  1 Pm 2.94, 5 Pr 2.96-2.98
P 0.0000 0.7527 0.7527  2 Pm 2.95, 4 Pr 2.96-2.98
P 0.5000 0.2485 0.7515  1 Pm 2.94, 5 Pr 2.96-2.98


# PmPrP

PmPrP after structural relaxation (PBE-GGA, Alexandria via LeMat-Bulk).

Results
Magnetic moment ... 0.85 μB/f.u.
Final energy ... -5.905 eV per atom
ρ ... 5.53 g/cm3

Cell: 6.7468 4.0341 4.0341 Å, 120.00 90.00 90.00°
With the nearest neighbours (Å) after each atom.
Sites, in units of the cell vectors:
Pr 0.2450 0.3333 0.6667  3 P 2.87
P 0.9960 0.0000 0.0000  3 Pm 2.83, 3 Pr 2.87
Pm 0.7590 0.6667 0.3333  3 P 2.83


# PmPrP

PmPrP after structural relaxation (PBE-GGA, Alexandria via LeMat-Bulk).

Results
Magnetic moment ... 0.00 μB/f.u.
Final energy ... -5.846 eV per atom
ρ ... 6.39 g/cm3

Cell: 4.8829 4.8829 4.8829 Å, 60.00 60.00 60.00°
With the nearest neighbours (Å) after each atom.
Sites, in units of the cell vectors:
Pr 0.0000 0.0000 0.0000  4 P 2.99
P 0.2500 0.2500 0.2500  4 Pr 2.99, 4 Pm 2.99
Pm 0.5000 0.5000 0.5000  4 P 2.99